No. 1
Material: Cs3KAu
Method: DFT, PBE-GGA
State: relaxed

CIF file:
```
data_Cs3KAu
_chemical_formula_sum 'Cs6 K2 Au2'
_space_group_name_H-M_alt 'P 1'
_space_group_IT_number 1
_cell_length_a 7.3521
_cell_length_b 10.2410
_cell_length_c 10.1844
_cell_angle_alpha 90.00
_cell_angle_beta 90.00
_cell_angle_gamma 89.96
loop_
_space_group_symop_operation_xyz
'x,y,z'
loop_
_atom_site_label
_atom_site_fract_x
_atom_site_fract_y
_atom_site_fract_z
Cs1 0.0003 0.7514 0.4998
Cs2 0.9997 0.2486 0.5002
Cs3 0.0003 0.7514 0.0002
Cs4 0.9997 0.2486 0.9998
Cs5 0.5012 0.0008 0.7500
Cs6 0.4988 0.9992 0.2500
K1 0.5007 0.5018 0.7500
K2 0.4993 0.4982 0.2500
Au1 0.0012 0.9997 0.7500
Au2 0.9988 0.0003 0.2500
```

Values from the calculation:
**Total magnetization**: 0.00 Bohr magnetons per cell
**ΔH_f (0 K)**: -0.138 eV/atom
**Theoretical density**: 2.75 g/cm3
**Polymorph energy (0 for the lowest one)**: 0 meV/atom

No. 2
Material: Sc2U2S7
Method: DFT, PBE-GGA
State: relaxed

CIF file:
```
data_Sc2U2S7
_chemical_formula_sum 'Sc2 U2 S7'
_space_group_name_H-M_alt 'P 1'
_space_group_IT_number 1
_cell_length_a 3.7855
_cell_length_b 8.1958
_cell_length_c 8.1958
_cell_angle_alpha 61.52
_cell_angle_beta 76.65
_cell_angle_gamma 76.65
loop_
_space_group_symop_operation_xyz
'x,y,z'
loop_
_atom_site_label
_atom_site_fract_x
_atom_site_fract_y
_atom_site_fract_z
Sc1 0.0000 0.7908 0.2092
Sc2 0.5000 0.3245 0.6755
U1 0.7397 0.8507 0.6698
U2 0.2603 0.3302 0.1493
S1 0.8204 0.0676 0.2915
S2 0.8648 0.4192 0.8513
S3 0.5000 0.0090 0.9910
S4 0.6074 0.4949 0.2902
S5 0.3926 0.7098 0.5051
S6 0.1795 0.7085 0.9324
S7 0.1352 0.1487 0.5808
```

Values from the calculation:
**Total magnetization**: 3.91 Bohr magnetons per cell
**Theoretical density**: 6.10 g/cm3
**Polymorph energy (0 for the lowest one)**: 0 meV/atom